# PBE TlHg2Pt, relaxed
# Spin magnetization = 0.00 μB/f.u.
# Crystal system = monoclinic
# Offset from the most stable computed form = 60.1 meV per atom
data_TlHg2Pt
_cell_length_a 4.9627
_cell_length_b 4.4729
_cell_length_c 5.3721
_cell_angle_alpha 90.00
_cell_angle_beta 114.10
_cell_angle_gamma 90.00
_space_group_name_H-M_alt 'P 1 2/m 1'
_space_group_IT_number 10
_space_group_name_Hall '-P 2y'
loop_
_atom_site_label
_atom_site_type_symbol
_atom_site_fract_x
_atom_site_fract_y
_atom_site_fract_z
_atom_site_occupancy
Tl1 Tl 0.0000 0.0000 0.0000 1
Hg1 Hg 0.3589 0.5000 0.6993 1
Pt1 Pt 0.0000 0.0000 0.5000 1

# PBE TlHgPt3, relaxed
# Spin magnetization = 0.00 μB/f.u.
# Crystal system = cubic
# Offset from the most stable computed form = 0.0 meV per atom
data_TlHgPt3
_cell_length_a 5.0878
_cell_length_b 5.0878
_cell_length_c 5.0878
_cell_angle_alpha 90.00
_cell_angle_beta 90.00
_cell_angle_gamma 90.00
_space_group_name_H-M_alt 'P m -3 m'
_space_group_IT_number 221
_space_group_name_Hall '-P 4 2 3'
loop_
_atom_site_label
_atom_site_type_symbol
_atom_site_fract_x
_atom_site_fract_y
_atom_site_fract_z
_atom_site_occupancy
Tl1 Tl 0.0000 0.0000 0.0000 1
Hg1 Hg 0.5000 0.5000 0.5000 1
Pt1 Pt 0.0000 0.5000 0.5000 1

# PBE TlHgPt2, relaxed
# Energy = -14.31 eV/f.u.
# Spin magnetization = 0.00 μB/f.u.
# Crystal system = orthorhombic
data_TlHgPt2
_cell_length_a 4.1669
_cell_length_b 4.4674
_cell_length_c 8.1257
_cell_angle_alpha 90.00
_cell_angle_beta 90.00
_cell_angle_gamma 90.00
_space_group_name_H-M_alt 'C m m m'
_space_group_IT_number 65
_space_group_name_Hall '-C 2 2'
loop_
_atom_site_label
_atom_site_type_symbol
_atom_site_fract_x
_atom_site_fract_y
_atom_site_fract_z
_atom_site_occupancy
Tl1 Tl 0.0000 0.0000 0.0000 1
Hg1 Hg 0.0000 0.0000 0.5000 1
Pt1 Pt 0.0000 0.5000 0.2509 1